Entry 1:
ScCdMo2: optimized geometry, GGA-PBEsol.

a = 2.7245 Å, b = 5.4077 Å, c = 5.4945 Å
α = 116.44°, β = 98.91°, γ = 100.90°
Fractional coordinates of all 4 atoms:
Sc 0.5000 0.0000 0.0000
Mo 0.5000 0.5000 0.5000
Mo 0.0000 0.0000 0.5000
Cd 0.0000 0.5000 0.0000

Total energy (eV for the cell shown): -30.2
Energy relative to the elements (eV/atom): 0.286
Symmetry: C2/m
D(E_F) (states/eV/atom): 0.907

***

Entry 2:
FeCo5O12: optimized geometry, GGA-PBEsol.

a = 4.8224 Å, b = 4.8280 Å, c = 9.1477 Å
α = 89.99°, β = 89.99°, γ = 60.04°
Fractional coordinates of all 18 atoms:
O 0.3319 0.0000 0.1014
O 0.5002 0.6666 0.3993
O 0.9999 0.3319 0.8986
O 0.6682 0.3319 0.1014
O 0.6681 0.0000 0.8986
O 0.3318 0.6681 0.8986
O 0.8332 0.6666 0.6007
O 0.0001 0.6681 0.1014
O 0.8335 0.0000 0.3992
O 0.1665 0.0000 0.6008
O 0.1668 0.3334 0.3993
O 0.4998 0.3334 0.6007
Co 0.5000 0.0000 0.5000
Co 0.1666 0.6668 0.5000
Co 0.3333 0.3334 0.0000
Co 0.8334 0.3332 0.5000
Co 0.6667 0.6666 0.0000
Fe 0.0000 0.0000 0.0000

Total energy (eV for the cell shown): -127.4
Symmetry: C2/m
D(E_F) (states/eV/atom): 0.711
Uncorrected formation energy (eV/atom): -0.9336

***

Entry 3:
P2RuSe: optimized geometry, GGA-PBEsol.

a = 2.9100 Å, b = 4.4326 Å, c = 4.4326 Å
α = 90.00°, β = 90.00°, γ = 90.00°
Fractional coordinates of all 4 atoms:
P 0.0000 0.5000 0.0000
P 0.0000 0.0000 0.5000
Ru 0.5000 0.5000 0.5000
Se 0.5000 0.0000 0.0000

Total energy (eV for the cell shown): -23.5
Symmetry: P4/mmm
D(E_F) (states/eV/atom): 0.810
Uncorrected formation energy (eV/atom): 0.5162

***

Entry 4:
MnAlPt2: optimized geometry, GGA-PBEsol.

a = 2.8328 Å, b = 4.5367 Å, c = 4.5367 Å
α = 103.48°, β = 90.00°, γ = 90.00°
Fractional coordinates of all 4 atoms:
Al 0.5000 0.0000 0.0000
Mn 0.5000 0.5000 0.5000
Pt 0.0000 0.5000 0.0000
Pt 0.0000 0.0000 0.5000

Total energy (eV for the cell shown): -30.3
Energy relative to the elements (eV/atom): -0.629
Symmetry: Cmmm
D(E_F) (states/eV/atom): 0.394

***

Entry 5:
CaLa3: optimized geometry, GGA-PBEsol.

a = 5.2014 Å, b = 5.2014 Å, c = 5.2014 Å
α = 90.00°, β = 90.00°, γ = 90.00°
Fractional coordinates of all 4 atoms:
Ca 0.0000 0.0000 0.0000
La 0.5000 0.0000 0.5000
La 0.5000 0.5000 0.0000
La 0.0000 0.5000 0.5000

Total energy (eV for the cell shown): -17.9
Energy relative to the elements (eV/atom): 0.076
Symmetry: Pm-3m
D(E_F) (states/eV/atom): 1.529

***

Entry 6:
Tb3Fe2Si3: optimized geometry, GGA-PBEsol.

a = 4.0428 Å, b = 5.5969 Å, c = 13.4627 Å
α = 90.00°, β = 90.00°, γ = 111.17°
Fractional coordinates of all 16 atoms:
Fe 0.7842 0.5684 0.4198
Fe 0.2158 0.4316 0.5802
Fe 0.7842 0.5684 0.0802
Fe 0.2158 0.4316 0.9198
Si 0.3738 0.7477 0.0397
Si 0.3738 0.7477 0.4603
Si 0.6262 0.2523 0.9603
Si 0.6807 0.3613 0.2500
Si 0.3193 0.6387 0.7500
Si 0.6262 0.2523 0.5397
Tb 0.3689 0.7377 0.2500
Tb 0.0816 0.1631 0.3875
Tb 0.6311 0.2623 0.7500
Tb 0.0816 0.1631 0.1125
Tb 0.9184 0.8369 0.6125
Tb 0.9184 0.8369 0.8875

Total energy (eV for the cell shown): -111.7
Symmetry: Cmcm
D(E_F) (states/eV/atom): 0.615
Uncorrected formation energy (eV/atom): -0.7040

***

Entry 7:
KMn3Bi: optimized geometry, GGA-PBEsol.

a = 4.8417 Å, b = 4.8417 Å, c = 4.8417 Å
α = 90.00°, β = 90.00°, γ = 90.00°
Fractional coordinates of all 5 atoms:
K 0.0000 0.0000 0.0000
Mn 0.0000 0.0000 0.5000
Mn 0.0000 0.5000 0.0000
Mn 0.5000 0.0000 0.0000
Bi 0.5000 0.5000 0.5000

Total energy (eV for the cell shown): -24.2
Energy relative to the elements (eV/atom): 2.098
Symmetry: Pm-3m
D(E_F) (states/eV/atom): 0.706

***

Entry 8:
BaAl2Br: optimized geometry, GGA-PBEsol.

a = 4.7042 Å, b = 5.3858 Å, c = 6.0935 Å
α = 116.23°, β = 112.71°, γ = 90.00°
Fractional coordinates of all 4 atoms:
Ba 0.4739 0.4739 0.9479
Al 0.7222 0.2222 0.4444
Al 0.0968 0.0968 0.1937
Br 0.2070 0.7070 0.4140

Total energy (eV for the cell shown): -13.3
Symmetry: Imm2
Distance to the lowest polymorph of the same formula (meV/atom): 0
D(E_F) (states/eV/atom): 0.745
Uncorrected formation energy (eV/atom): -0.2624

***

Entry 9:
Pb3Se: optimized geometry, GGA-PBEsol.

a = 3.8083 Å, b = 5.4358 Å, c = 5.4358 Å
α = 102.19°, β = 90.00°, γ = 90.00°
Fractional coordinates of all 4 atoms:
Pb 0.5000 0.0000 0.5000
Pb 0.0000 0.5000 0.5000
Pb 0.5000 0.5000 0.0000
Se 0.0000 0.0000 0.0000

Total energy (eV for the cell shown): -16.2
Symmetry: Cmmm
D(E_F) (states/eV/atom): 0.460
Uncorrected formation energy (eV/atom): -0.0843

***

Entry 10:
Rb3Er7S12: optimized geometry, GGA-PBEsol.

a = 3.9089 Å, b = 11.8978 Å, c = 24.5632 Å
α = 90.00°, β = 90.00°, γ = 90.00°
Fractional coordinates of all 44 atoms:
Er 0.0000 0.3452 0.2885
Er 0.5000 0.4676 0.4189
Er 0.5000 0.6548 0.7885
Er 0.5000 0.0274 0.5839
Er 0.0000 0.2434 0.4991
Er 0.5000 0.8441 0.2113
Er 0.5000 0.7566 0.9991
Er 0.0000 0.9726 0.0839
Er 0.5000 0.3267 0.8177
Er 0.5000 0.1782 0.1815
Er 0.0000 0.8218 0.6815
Er 0.0000 0.6733 0.3177
Er 0.0000 0.1559 0.7113
Er 0.0000 0.5324 0.9189
S 0.0000 0.9111 0.9800
S 0.5000 0.8250 0.3220
S 0.0000 0.8025 0.7884
S 0.5000 0.3796 0.9229
S 0.5000 0.5071 0.3057
S 0.5000 0.6723 0.6799
S 0.5000 0.0889 0.4800
S 0.0000 0.3187 0.3969
S 0.0000 0.6204 0.4229
S 0.5000 0.1254 0.0768
S 0.0000 0.0084 0.1958
S 0.0000 0.6071 0.0191
S 0.0000 0.1776 0.6031
S 0.0000 0.3277 0.1799
S 0.0000 0.8746 0.5768
S 0.5000 0.9916 0.6958
S 0.5000 0.3929 0.5191
S 0.5000 0.6813 0.8969
S 0.5000 0.8224 0.1031
S 0.0000 0.4929 0.8057
S 0.0000 0.6964 0.2110
S 0.5000 0.3036 0.7110
S 0.5000 0.1975 0.2884
S 0.0000 0.1750 0.8220
Rb 0.5000 0.8023 0.4748
Rb 0.0000 0.0423 0.3626
Rb 0.0000 0.4632 0.6291
Rb 0.5000 0.9577 0.8626
Rb 0.0000 0.1977 0.9748
Rb 0.5000 0.5368 0.1291

Total energy (eV for the cell shown): -268.5
Symmetry: Pmn2_1
D(E_F) (states/eV/atom): 0.000
Uncorrected formation energy (eV/atom): -2.0032

***

Entry 11:
AlIn2CN: optimized geometry, GGA-PBEsol.

a = 2.5714 Å, b = 5.9927 Å, c = 5.9927 Å
α = 90.00°, β = 90.00°, γ = 90.00°
Fractional coordinates of all 5 atoms:
Al 0.5000 0.5000 0.5000
In 0.0000 0.5000 0.0000
In 0.0000 0.0000 0.5000
N 0.5000 0.0000 0.0000
C 0.0000 0.0000 0.0000

Total energy (eV for the cell shown): -24.2
Symmetry: P4/mmm
D(E_F) (states/eV/atom): 0.493
Uncorrected formation energy (eV/atom): 0.8130

***

Entry 12:
BaBe2Pb: optimized geometry, GGA-PBEsol.

a = 3.2890 Å, b = 3.2890 Å, c = 7.8839 Å
α = 90.00°, β = 90.00°, γ = 90.00°
Fractional coordinates of all 4 atoms:
Ba 0.5000 0.5000 0.7884
Be 0.5000 0.5000 0.1834
Be 0.0000 0.0000 0.1001
Pb 0.0000 0.0000 0.4281

Total energy (eV for the cell shown): -12.5
Energy relative to the elements (eV/atom): 0.404
Symmetry: P4mm
D(E_F) (states/eV/atom): 0.500

***

Question: Which value of total energy does entry 10 give?
Answer: -268.5 eV for the cell shown